(1)
CaAu2Se2 GGA-PBE relaxed; final energy = -34.85 eV/cell; space-group type = I4/mmm; energy relative to the lowest polymorph listed for this composition = 172 meV/atom; D(E_F) = 3.37 states/eV/cell; total moment = 0.00 μB per formula unit
1.0
4.387 0.000 0.000
0.000 4.387 0.000
0.000 0.000 12.152
Ca Au Se
2 4 4
Direct
0.000 0.000 0.000
0.500 0.500 0.500
0.000 0.000 0.392
0.000 0.000 0.608
0.500 0.500 0.108
0.500 0.500 0.892
0.000 0.500 0.250
0.000 0.500 0.750
0.500 0.000 0.250
0.500 0.000 0.750

---

(2)
CaAu4Se GGA-PBE relaxed; final energy = -21.27 eV/cell; space-group type = F-43m; D(E_F) = 0.87 states/eV/cell; total moment = 0.00 μB per formula unit
1.0
0.000 3.972 3.972
3.972 0.000 3.972
3.972 3.972 0.000
Ca Au Se
1 4 1
Direct
0.000 0.000 0.000
0.125 0.625 0.625
0.625 0.125 0.625
0.625 0.625 0.125
0.625 0.625 0.625
0.250 0.250 0.250

---

(3)
Ca2Au2Se GGA-PBE relaxed; final energy = -38.00 eV/cell; space-group type = I4/mmm; energy relative to the lowest polymorph listed for this composition = 0 meV/atom; D(E_F) = 2.00 states/eV/cell; total moment = 0.00 μB per formula unit
1.0
3.862 0.000 0.000
0.000 3.862 0.000
0.000 0.000 16.554
Ca Au Se
4 4 2
Direct
0.000 0.000 0.105
0.000 0.000 0.895
0.500 0.500 0.395
0.500 0.500 0.605
0.000 0.500 0.250
0.000 0.500 0.750
0.500 0.000 0.250
0.500 0.000 0.750
0.000 0.000 0.500
0.500 0.500 0.000

---

Number 1: raw formation energy -36.6 kJ/mol of atoms. Number 2: raw formation energy -42.9 kJ/mol of atoms. Number 3: raw formation energy -95.7 kJ/mol of atoms.